*i*
Density functional theory data (PBE) for Dy2HoPt3 after structural relaxation.

Density   12.563 g/cm³
Space group   No. 15
Magnetization   0.000 μB per cell

Unit cell a=5.746 b=8.120 c=7.033 alpha=106.73 beta=114.11 gamma=90.00
Fractional positions:
Dy 0.674 0.583 0.334
Dy 0.659 0.083 0.334
Dy 0.341 0.917 0.666
Dy 0.326 0.417 0.666
Ho 0.990 0.750 0.000
Ho 0.010 0.250 0.000
Pt 0.509 0.250 0.000
Pt 0.491 0.750 0.000
Pt 0.159 0.083 0.331
Pt 0.827 0.417 0.669
Pt 0.173 0.583 0.331
Pt 0.841 0.917 0.669

***

*ii*
Density functional theory data (PBE) for Dy2HoPt3 after structural relaxation.

Density   14.028 g/cm³
Space group   No. 59
Magnetization   0.000 μB per cell

Unit cell a=3.451 b=4.960 c=14.872 alpha=90.00 beta=90.00 gamma=90.00
Fractional positions:
Dy 0.999 0.000 0.667
Dy 0.999 0.000 0.333
Dy 0.001 0.500 0.167
Dy 0.001 0.500 0.833
Ho 0.999 0.500 0.500
Ho 0.001 0.000 0.000
Pt 0.499 0.500 0.665
Pt 0.500 0.000 0.500
Pt 0.499 0.500 0.335
Pt 0.501 0.000 0.165
Pt 0.500 0.500 0.000
Pt 0.501 0.000 0.835

***

The least stable of them is *i*.

***

*i*
Density functional theory data (PBE) for DyHo2Pu after structural relaxation.

Density   10.112 g/cm³
Space group   No. 123
Magnetization   6.241 μB per cell

Unit cell a=4.949 b=4.943 c=4.943 alpha=90.00 beta=90.00 gamma=90.00
Fractional positions:
Dy 0.500 0.000 0.000
Ho 0.000 0.000 0.500
Ho 0.000 0.500 0.000
Pu 0.500 0.500 0.500

***

*ii*
Density functional theory data (PBE) for DyHo2Pu after structural relaxation.

Density   9.870 g/cm³
Space group   No. 166
Magnetization   6.399 μB per cell

Unit cell a=3.429 b=3.429 c=12.327 alpha=82.00 beta=82.00 gamma=60.00
Fractional positions:
Dy 0.500 0.500 0.500
Ho 0.089 0.089 0.734
Ho 0.911 0.911 0.266
Pu 0.000 0.000 0.000

***

The least stable of them is *ii*.

***

*i*
Density functional theory data (PBE) for DyHoPu after structural relaxation.

Density   10.561 g/cm³
Space group   No. 107
Magnetization   6.128 μB per cell

Unit cell a=3.490 b=3.490 c=7.776 alpha=102.97 beta=102.97 gamma=90.00
Fractional positions:
Pu 0.000 0.000 0.000
Ho 0.664 0.664 0.328
Dy 0.336 0.336 0.671

***

*ii*
Density functional theory data (PBE) for DyHoPu after structural relaxation.

Density   9.258 g/cm³
Space group   No. 65
Magnetization   13.051 μB per cell

Unit cell a=3.299 b=7.883 c=7.883 alpha=89.99 beta=90.00 gamma=90.00
Fractional positions:
Pu 0.000 0.000 0.000
Pu 0.500 0.500 0.500
Ho 0.000 0.737 0.737
Ho 0.000 0.263 0.263
Dy 0.500 0.237 0.763
Dy 0.500 0.763 0.237

***

*iii*
Density functional theory data (PBE) for DyHoPu after structural relaxation.

Density   10.496 g/cm³
Space group   No. 156
Magnetization   6.097 μB per cell

Unit cell a=3.502 b=3.502 c=8.510 alpha=90.00 beta=90.00 gamma=120.00
Fractional positions:
Dy 0.000 0.000 0.002
Ho 0.333 0.667 0.665
Pu 0.667 0.333 0.334

***

The least stable of them is *ii*.

***

*i*
Density functional theory data (PBE) for Dy2HoPu after structural relaxation.

Density   10.052 g/cm³
Space group   No. 123
Magnetization   6.113 μB per cell

Unit cell a=3.484 b=3.484 c=9.986 alpha=90.00 beta=90.00 gamma=90.00
Fractional positions:
Dy 0.000 0.000 0.746
Dy 0.000 0.000 0.254
Ho 0.500 0.500 0.000
Pu 0.500 0.500 0.500

***

*ii*
Density functional theory data (PBE) for Dy2HoPu after structural relaxation.

Density   9.992 g/cm³
Space group   No. 225
Magnetization   7.211 μB per cell

Unit cell a=5.567 b=5.567 c=5.567 alpha=60.00 beta=60.00 gamma=60.00
Fractional positions:
Dy 0.250 0.250 0.250
Dy 0.750 0.750 0.750
Ho 0.000 0.000 0.000
Pu 0.500 0.500 0.500

***

The least stable of them is *ii*.

***

*i*
Density functional theory data (PBE) for Dy2HoPu after structural relaxation.

Density   10.041 g/cm³
Space group   No. 123
Magnetization   6.233 μB per cell

Unit cell a=4.946 b=4.954 c=4.954 alpha=90.00 beta=90.00 gamma=90.00
Fractional positions:
Dy 0.000 0.000 0.500
Dy 0.000 0.500 0.000
Ho 0.500 0.000 0.000
Pu 0.500 0.500 0.500

***

*ii*
Density functional theory data (PBE) for Dy2HoPu after structural relaxation.

Density   9.978 g/cm³
Space group   No. 160
Magnetization   5.894 μB per cell

Unit cell a=3.532 b=3.532 c=11.491 alpha=81.16 beta=81.16 gamma=59.98
Fractional positions:
Dy 0.083 0.083 0.752
Dy 0.251 0.251 0.248
Ho 0.500 0.500 0.499
Pu 0.666 0.666 0.001

***

The least stable of them is *i*.

***

*i*
Density functional theory data (PBE) for Dy12Ho7Pu after structural relaxation.

Density   8.844 g/cm³
Space group   No. 166
Magnetization   5.547 μB per cell

Unit cell a=8.690 b=8.690 c=8.690 alpha=99.05 beta=99.05 gamma=99.05
Fractional positions:
Dy 0.760 0.240 0.500
Dy 0.760 0.500 0.240
Dy 0.354 0.086 0.354
Dy 0.914 0.646 0.646
Dy 0.500 0.240 0.760
Dy 0.646 0.646 0.914
Dy 0.354 0.354 0.086
Dy 0.500 0.760 0.240
Dy 0.086 0.354 0.354
Dy 0.646 0.914 0.646
Dy 0.240 0.500 0.760
Dy 0.240 0.760 0.500
Ho 0.101 0.665 0.101
Ho 0.335 0.899 0.899
Ho 0.899 0.899 0.335
Ho 0.500 0.500 0.500
Ho 0.101 0.101 0.665
Ho 0.665 0.101 0.101
Ho 0.899 0.335 0.899
Pu 0.000 0.000 0.000

***

*ii*
Density functional theory data (PBE) for Dy12Ho7Pu after structural relaxation.

Density   7.790 g/cm³
Space group   No. 229
Magnetization   6.462 μB per cell

Unit cell a=9.751 b=9.751 c=9.751 alpha=109.47 beta=109.47 gamma=109.47
Fractional positions:
Dy 0.499 0.749 0.749
Dy 0.000 0.749 0.251
Dy 0.501 0.251 0.251
Dy 0.000 0.251 0.749
Dy 0.749 0.000 0.251
Dy 0.749 0.499 0.749
Dy 0.251 0.000 0.749
Dy 0.251 0.501 0.251
Dy 0.749 0.749 0.499
Dy 0.251 0.251 0.501
Dy 0.749 0.251 0.000
Dy 0.251 0.749 0.000
Ho 0.500 0.500 0.000
Ho 0.000 0.500 0.500
Ho 0.500 0.000 0.500
Ho 0.500 0.500 0.500
Ho 0.000 0.000 0.500
Ho 0.500 0.000 0.000
Ho 0.000 0.500 0.000
Pu 0.000 0.000 0.000

***

The least stable of them is *ii*.